Entry 1:
TaTc2Ge2: relaxed, GGA-PBE.

Values from the calculation:
Offset from the most stable computed form, meV per atom: 0
Space group: I4/mmm

Unit cell a=5.6465 b=5.6465 c=5.6465 alpha=136.74 beta=136.74 gamma=62.84
With the nearest neighbours (Å) after each atom.
Fractional positions:
Ge: 0.3787 0.3787 0.0000  1 Ge 2.34, 4 Tc 2.42
Ge: 0.6213 0.6213 0.0000  1 Ge 2.34, 4 Tc 2.42
Ta: 0.0000 0.0000 0.0000  8 Ge 3.17, 8 Tc 3.18
Tc: 0.7500 0.2500 0.5000  4 Ge 2.42
Tc: 0.2500 0.7500 0.5000  4 Ge 2.42

=====

Entry 2:
La2CuBiS5: relaxed, GGA-PBE.

Values from the calculation:
Space group: Pnma
Uncorrected energy, eV per cell: -202.51

Unit cell a=12.0327 b=3.9987 c=17.0405 alpha=90.00 beta=90.00 gamma=90.00
With the nearest neighbours (Å) after each atom.
Fractional positions:
Bi: 0.8007 0.2500 0.1368  6 S 2.72-2.93
Bi: 0.3007 0.2500 0.3632  6 S 2.72-2.93
Bi: 0.6993 0.7500 0.6368  6 S 2.72-2.93
Bi: 0.1993 0.7500 0.8632  6 S 2.72-2.93
Cu: 0.5916 0.7500 0.0025  4 S 2.28-2.50
Cu: 0.0916 0.7500 0.4975  4 S 2.28-2.50
Cu: 0.9084 0.2500 0.5025  4 S 2.28-2.50
Cu: 0.4084 0.2500 0.9975  4 S 2.28-2.50
La: 0.1261 0.7500 0.0976  8 S 2.97-3.15
La: 0.4648 0.7500 0.1733  7 S 2.95-3.15, 1 Cu 3.29
La: 0.9648 0.7500 0.3267  7 S 2.95-3.15, 1 Cu 3.29
La: 0.6261 0.7500 0.4024  8 S 2.97-3.15
La: 0.3739 0.2500 0.5976  8 S 2.97-3.15
La: 0.0352 0.2500 0.6733  7 S 2.95-3.15, 1 Cu 3.29
La: 0.5352 0.2500 0.8267  7 S 2.95-3.15, 1 Cu 3.29
La: 0.8739 0.2500 0.9024  8 S 2.97-3.15
S: 0.8950 0.7500 0.0304  2 Bi 2.93, 3 La 2.97-3.01
S: 0.5850 0.2500 0.0748  3 Cu 2.35-2.50
S: 0.3080 0.2500 0.1109  1 Cu 2.28
S: 0.0119 0.2500 0.2022  1 Bi 2.77, 4 La 2.97-3.01
S: 0.7373 0.7500 0.2352  2 Bi 2.72
S: 0.2373 0.7500 0.2648  2 Bi 2.72
S: 0.5119 0.2500 0.2978  1 Bi 2.77, 4 La 2.97-3.01
S: 0.8080 0.2500 0.3891  1 Cu 2.28
S: 0.0850 0.2500 0.4252  3 Cu 2.35-2.50
S: 0.3950 0.7500 0.4696  2 Bi 2.93, 3 La 2.97-3.01
S: 0.6050 0.2500 0.5304  2 Bi 2.93, 3 La 2.97-3.01
S: 0.9150 0.7500 0.5748  3 Cu 2.35-2.50
S: 0.1920 0.7500 0.6109  1 Cu 2.28
S: 0.4881 0.7500 0.7022  1 Bi 2.77, 4 La 2.97-3.01
S: 0.7627 0.2500 0.7352  2 Bi 2.72
S: 0.2627 0.2500 0.7648  2 Bi 2.72
S: 0.9881 0.7500 0.7978  1 Bi 2.77, 4 La 2.97-3.01
S: 0.6920 0.7500 0.8891  1 Cu 2.28
S: 0.4150 0.7500 0.9252  3 Cu 2.35-2.50
S: 0.1050 0.2500 0.9696  2 Bi 2.93, 3 La 2.97-3.01

=====

Entry 3:
RbReSi: relaxed, GGA-PBE.

Values from the calculation:
Offset from the most stable computed form, meV per atom: 1128
Space group: F-43m

Unit cell a=5.1047 b=5.1047 c=5.1047 alpha=60.00 beta=60.00 gamma=60.00
With the nearest neighbours (Å) after each atom.
Fractional positions:
Rb: 0.0000 0.0000 0.0000  4 Si 3.13, 4 Re 3.13
Re: 0.2500 0.2500 0.2500  4 Rb 3.13
Si: 0.7500 0.7500 0.7500  4 Rb 3.13

=====

Entry 4:
CdGeSO: relaxed, GGA-PBE.

Values from the calculation:
Offset from the most stable computed form, meV per atom: 426
Space group: P4/nmm

Unit cell a=4.9366 b=4.9366 c=6.5303 alpha=90.00 beta=90.00 gamma=90.00
With the nearest neighbours (Å) after each atom.
Fractional positions:
Cd: 0.7500 0.7500 0.1614  1 O 2.08
Cd: 0.2500 0.2500 0.8386  1 O 2.08
Ge: 0.2500 0.2500 0.4261  1 O 1.76
Ge: 0.7500 0.7500 0.5739  1 O 1.76
O: 0.2500 0.2500 0.1572  1 Ge 1.76
O: 0.7500 0.7500 0.8428  1 Ge 1.76
S: 0.7500 0.2500 0.5000  4 Ge 2.52
S: 0.2500 0.7500 0.5000  4 Ge 2.52